[1]
{"formula": "LiLuTaCo", "functional": "GGA-PBE", "state": "relaxed", "cell": [[-1.533, 2.040, 3.691], [-4.388, 0.826, 0.449], [-2.421, -2.303, 2.996]], "species": ["Co", "Lu", "Ta", "Li"], "fractional_positions": [[0.000, 0.000, 0.000], [0.500, 0.500, 0.500], [0.250, 0.250, 0.250], [0.750, 0.750, 0.750]], "e_above_lowest_polymorph_ev_per_atom": 0.201, "e_tot_ev_per_atom": -5.995}



[2]
{"formula": "LiLuTaCo", "functional": "GGA-PBE", "state": "relaxed", "cell": [[-2.231, -3.921, -0.085], [-4.480, -0.036, -0.535], [-1.799, -1.489, -3.860]], "species": ["Co", "Ta", "Li", "Lu"], "fractional_positions": [[0.250, 0.250, 0.250], [0.000, 0.000, 0.000], [0.750, 0.750, 0.750], [0.500, 0.500, 0.500]], "e_above_lowest_polymorph_ev_per_atom": 0.000, "e_tot_ev_per_atom": -6.196}